The following is a DFT calculation (PBE) of crystalline Al2Ag2Pd at its relaxed geometry.

total moment = 0.0 μB per cell
V = 165.3 Å³ per cell
energy above the lowest structure with this stoichiometry = 8.82 kJ per mole of atoms
SG = P4/mbm (127)

Lattice parameters (Å, degrees): 7.456 7.456 2.974 90.00 90.00 90.00
Sites, in units of the cell vectors:
Ag: 0.368 0.868 0.000
Ag: 0.632 0.132 0.000
Ag: 0.868 0.632 0.000
Ag: 0.132 0.368 0.000
Al: 0.670 0.830 0.500
Al: 0.170 0.670 0.500
Al: 0.330 0.170 0.500
Al: 0.830 0.330 0.500
Pd: 0.500 0.500 0.000
Pd: 0.000 0.000 0.000